A plane-wave DFT calculation with PBE-GGA was carried out for a relaxed structure of LiMgFe2.

Values from the calculation:
VASP energy = -4.63 eV/atom
space-group type = Pm-3m (221)
M_tot = 5.02 μB/f.u.

Lattice parameters (Å, degrees): 6.0178 6.0178 6.0178 90.00 90.00 90.00
With the nearest neighbours (Å) after each atom.
Fractional positions:
Fe  0.7223  0.2777  0.7223  4 Li 2.32-2.52
Li  0.5000  0.5000  0.5000  8 Fe 2.32
Mg  0.0000  0.5000  0.0000  8 Fe 2.72, 4 Li 3.01, 2 Mg 3.01
Mg  0.0000  0.0000  0.0000  8 Fe 2.89, 6 Mg 3.01
Fe  0.2777  0.7223  0.2777  4 Li 2.32-2.52
Fe  0.7223  0.7223  0.2777  4 Li 2.32-2.52
Fe  0.2777  0.2777  0.2777  4 Li 2.32-2.52
Fe  0.2777  0.2777  0.7223  4 Li 2.32-2.52
Mg  0.5000  0.0000  0.0000  8 Fe 2.72, 4 Li 3.01, 2 Mg 3.01
Li  0.5000  0.0000  0.5000  8 Fe 2.52
Li  0.0000  0.5000  0.5000  8 Fe 2.52
Li  0.5000  0.5000  0.0000  8 Fe 2.52
Fe  0.2777  0.7223  0.7223  4 Li 2.32-2.52
Fe  0.7223  0.7223  0.7223  4 Li 2.32-2.52
Fe  0.7223  0.2777  0.2777  4 Li 2.32-2.52
Mg  0.0000  0.0000  0.5000  8 Fe 2.72, 4 Li 3.01, 2 Mg 3.01

A plane-wave DFT calculation with PBE-GGA was carried out for a relaxed structure of LiMgFe2.

Values from the calculation:
VASP energy = -4.63 eV/atom
space-group type = Pm-3m (221)
M_tot = 5.02 μB/f.u.

Lattice parameters (Å, degrees): 6.0177 6.0177 6.0177 90.00 90.00 90.00
With the nearest neighbours (Å) after each atom.
Fractional positions:
Mg  0.0000  0.5000  0.5000  8 Fe 2.72, 4 Li 3.01, 2 Mg 3.01
Li  0.0000  0.0000  0.0000  8 Fe 2.32
Fe  0.7776  0.2224  0.7776  4 Li 2.32-2.52
Fe  0.2224  0.7776  0.7776  4 Li 2.32-2.52
Li  0.0000  0.0000  0.5000  8 Fe 2.52
Fe  0.7776  0.2224  0.2224  4 Li 2.32-2.52
Li  0.5000  0.0000  0.0000  8 Fe 2.52
Fe  0.2224  0.2224  0.7776  4 Li 2.32-2.52
Mg  0.5000  0.5000  0.0000  8 Fe 2.72, 2 Mg 3.01, 4 Li 3.01
Li  0.0000  0.5000  0.0000  8 Fe 2.52
Fe  0.2224  0.7776  0.2224  4 Li 2.32-2.52
Mg  0.5000  0.5000  0.5000  8 Fe 2.89, 6 Mg 3.01
Fe  0.7776  0.7776  0.7776  4 Li 2.32-2.52
Fe  0.2224  0.2224  0.2224  4 Li 2.32-2.52
Mg  0.5000  0.0000  0.5000  8 Fe 2.72, 2 Mg 3.01, 4 Li 3.01
Fe  0.7776  0.7776  0.2224  4 Li 2.32-2.52

A plane-wave DFT calculation with PBE-GGA was carried out for a relaxed structure of LiMgFePb.

Values from the calculation:
energy above the most stable polymorph in this dataset = 0 meV/atom
VASP energy = -3.73 eV/atom
space-group type = F-43m (216)
M_tot = 2.20 μB/f.u.

Lattice parameters (Å, degrees): 4.5269 4.5269 4.5269 60.00 60.00 60.00
With the nearest neighbours (Å) after each atom.
Fractional positions:
Pb  0.0000  0.0000  0.0000  4 Li 2.77, 4 Fe 2.77
Li  0.7500  0.7500  0.7500  4 Pb 2.77, 4 Mg 2.77
Mg  0.5000  0.5000  0.5000  4 Fe 2.77, 4 Li 2.77
Fe  0.2500  0.2500  0.2500  4 Mg 2.77, 4 Pb 2.77

A plane-wave DFT calculation with PBE-GGA was carried out for a relaxed structure of Li2Mg2FeSn2Pd.

Values from the calculation:
VASP energy = -3.89 eV/atom
space-group type = P-4m2 (115)
M_tot = 2.22 μB/f.u.

Lattice parameters (Å, degrees): 4.5248 4.5248 6.5004 90.00 90.00 90.00
With the nearest neighbours (Å) after each atom.
Fractional positions:
Fe  0.0000  0.0000  0.0000  4 Sn 2.74, 4 Mg 2.79
Sn  0.5000  0.0000  0.7635  4 Li 2.74-2.84, 2 Fe 2.74, 2 Pd 2.84
Sn  0.0000  0.5000  0.2365  2 Fe 2.74, 4 Li 2.74-2.84, 2 Pd 2.84
Li  0.5000  0.5000  0.0000  4 Sn 2.74, 4 Mg 2.79
Mg  0.0000  0.5000  0.7496  4 Li 2.78-2.79, 2 Pd 2.78, 2 Fe 2.79
Pd  0.5000  0.5000  0.5000  4 Mg 2.78, 4 Sn 2.84
Mg  0.5000  0.0000  0.2504  2 Pd 2.78, 4 Li 2.78-2.79, 2 Fe 2.79
Li  0.0000  0.0000  0.5000  4 Mg 2.78, 4 Sn 2.84

A plane-wave DFT calculation with PBE-GGA was carried out for a relaxed structure of LiMgFeRe.

Values from the calculation:
energy above the most stable polymorph in this dataset = 0 meV/atom
VASP energy = -5.82 eV/atom
space-group type = F-43m (216)
M_tot = 0.00 μB/f.u.

Lattice parameters (Å, degrees): 4.1658 4.1658 4.1658 60.00 60.00 60.00
With the nearest neighbours (Å) after each atom.
Fractional positions:
Li  0.7500  0.7500  0.7500  4 Re 2.55, 4 Mg 2.55
Fe  0.2500  0.2500  0.2500  4 Mg 2.55, 4 Re 2.55
Mg  0.0000  0.0000  0.0000  4 Fe 2.55, 4 Li 2.55
Re  0.5000  0.5000  0.5000  4 Fe 2.55, 4 Li 2.55

A plane-wave DFT calculation with PBE-GGA was carried out for a relaxed structure of LiMgFeTc.

Values from the calculation:
energy above the most stable polymorph in this dataset = 0 meV/atom
VASP energy = -5.34 eV/atom
space-group type = F-43m (216)
M_tot = 0.01 μB/f.u.

Lattice parameters (Å, degrees): 4.1767 4.1767 4.1767 60.00 60.00 60.00
With the nearest neighbours (Å) after each atom.
Fractional positions:
Mg  0.0000  0.0000  0.0000  4 Li 2.56, 4 Fe 2.56
Tc  0.5000  0.5000  0.5000  4 Li 2.56, 4 Fe 2.56
Li  0.7500  0.7500  0.7500  4 Tc 2.56, 4 Mg 2.56
Fe  0.2500  0.2500  0.2500  4 Tc 2.56, 4 Mg 2.56

A plane-wave DFT calculation with PBE-GGA was carried out for a relaxed structure of LiMgTlFe.

Values from the calculation:
energy above the most stable polymorph in this dataset = 0 meV/atom
VASP energy = -3.38 eV/atom
space-group type = F-43m (216)
M_tot = 2.47 μB/f.u.

Lattice parameters (Å, degrees): 4.6056 4.6056 4.6056 60.00 60.00 60.00
With the nearest neighbours (Å) after each atom.
Fractional positions:
Tl  0.0000  0.0000  0.0000  4 Fe 2.82, 4 Li 2.82
Fe  0.7500  0.7500  0.7500  4 Mg 2.82, 4 Tl 2.82
Li  0.2500  0.2500  0.2500  4 Mg 2.82, 4 Tl 2.82
Mg  0.5000  0.5000  0.5000  4 Li 2.82, 4 Fe 2.82

A plane-wave DFT calculation with PBE-GGA was carried out for a relaxed structure of LiFeSnMo.

Values from the calculation:
energy above the most stable polymorph in this dataset = 0 meV/atom
VASP energy = -6.20 eV/atom
space-group type = F-43m (216)
M_tot = 0.81 μB/f.u.

Lattice parameters (Å, degrees): 4.2936 4.2936 4.2936 60.00 60.00 60.00
With the nearest neighbours (Å) after each atom.
Fractional positions:
Li  0.2500  0.2500  0.2500  4 Mo 2.63, 4 Sn 2.63
Fe  0.7500  0.7500  0.7500  4 Sn 2.63, 4 Mo 2.63
Sn  0.0000  0.0000  0.0000  4 Fe 2.63, 4 Li 2.63
Mo  0.5000  0.5000  0.5000  4 Li 2.63, 4 Fe 2.63

What did the fifth record say?
A plane-wave DFT calculation with PBE-GGA was carried out for a relaxed structure of LiMgFeRe.

Values from the calculation:
energy above the most stable polymorph in this dataset = 0 meV/atom
VASP energy = -5.82 eV/atom
space-group type = F-43m (216)
M_tot = 0.00 μB/f.u.

Lattice parameters (Å, degrees): 4.1658 4.1658 4.1658 60.00 60.00 60.00
With the nearest neighbours (Å) after each atom.
Fractional positions:
Li  0.7500  0.7500  0.7500  4 Re 2.55, 4 Mg 2.55
Fe  0.2500  0.2500  0.2500  4 Mg 2.55, 4 Re 2.55
Mg  0.0000  0.0000  0.0000  4 Fe 2.55, 4 Li 2.55
Re  0.5000  0.5000  0.5000  4 Fe 2.55, 4 Li 2.55

VASP energy of number 5 (LiMgFeRe)?
-5.82 eV/atom